First-principles (GGA-PBE) data for a relaxed TiBi3Te crystal, as listed in Alexandria via LeMat-Bulk. Values from VASP.

## Properties
- crystal system = cubic
- SG = Pm-3m, No. 221
- formation energy from raw total energies (eV/atom) = 1.065

```
&SYSTEM
  ibrav = 0, nat = 5, ntyp = 3
/
ATOMIC_SPECIES
Ti 47.87 Ti.upf
Bi 208.98 Bi.upf
Te 127.60 Te.upf
ATOMIC_POSITIONS crystal
Ti 0.000 0.000 0.000
Bi 0.000 0.500 0.500
Bi 0.500 0.000 0.500
Bi 0.500 0.500 0.000
Te 0.500 0.500 0.500
CELL_PARAMETERS angstrom
5.814 0.000 0.000
0.000 5.814 0.000
0.000 0.000 5.814
```


First-principles (GGA-PBE) data for a relaxed TiBiTe crystal, as listed in Alexandria via LeMat-Bulk. Values from VASP.

## Properties
- crystal system = monoclinic
- SG = C2/m, No. 12
- formation energy from raw total energies (eV/atom) = -0.294

```
&SYSTEM
  ibrav = 0, nat = 6, ntyp = 3
/
ATOMIC_SPECIES
Ti 47.87 Ti.upf
Bi 208.98 Bi.upf
Te 127.60 Te.upf
ATOMIC_POSITIONS crystal
Ti 0.205 0.205 0.370
Ti 0.795 0.795 0.630
Bi 0.171 0.171 0.854
Bi 0.829 0.829 0.146
Te 0.414 0.414 0.663
Te 0.586 0.586 0.337
CELL_PARAMETERS angstrom
6.636 -2.286 0.000
6.636 2.286 0.000
-1.480 0.000 5.590
```


First-principles (GGA-PBE) data for a relaxed Ti4BiTe8 crystal, as listed in Alexandria via LeMat-Bulk. Values from VASP.

## Properties
- crystal system = trigonal
- SG = R-3m, No. 166
- formation energy from raw total energies (eV/atom) = -0.543

```
&SYSTEM
  ibrav = 0, nat = 13, ntyp = 3
/
ATOMIC_SPECIES
Ti 47.87 Ti.upf
Bi 208.98 Bi.upf
Te 127.60 Te.upf
ATOMIC_POSITIONS crystal
Ti 0.000 0.000 0.000
Ti 0.000 0.500 0.500
Ti 0.500 0.000 0.500
Ti 0.500 0.500 0.000
Bi 0.500 0.500 0.500
Te 0.239 0.239 0.735
Te 0.239 0.735 0.239
Te 0.263 0.263 0.263
Te 0.265 0.761 0.761
Te 0.735 0.239 0.239
Te 0.737 0.737 0.737
Te 0.761 0.265 0.761
Te 0.761 0.761 0.265
CELL_PARAMETERS angstrom
3.813 2.202 8.097
-3.813 2.202 8.097
0.000 -4.403 8.097
```


First-principles (GGA-PBE) data for a relaxed TiBiTe2 crystal, as listed in Alexandria via LeMat-Bulk. Values from VASP.

## Properties
- crystal system = trigonal
- SG = R-3m, No. 166
- formation energy from raw total energies (eV/atom) = -0.429

```
&SYSTEM
  ibrav = 0, nat = 4, ntyp = 3
/
ATOMIC_SPECIES
Ti 47.87 Ti.upf
Bi 208.98 Bi.upf
Te 127.60 Te.upf
ATOMIC_POSITIONS crystal
Ti 0.000 0.000 0.000
Bi 0.500 0.500 0.500
Te 0.392 0.392 0.392
Te 0.608 0.608 0.608
CELL_PARAMETERS angstrom
1.859 1.073 9.815
-1.859 1.073 9.815
0.000 -2.147 9.815
```


First-principles (GGA-PBE) data for a relaxed Ti2BiTe crystal, as listed in Alexandria via LeMat-Bulk. Values from VASP.

## Properties
- crystal system = tetragonal
- SG = I-42d, No. 122
- formation energy from raw total energies (eV/atom) = 0.202

```
&SYSTEM
  ibrav = 0, nat = 8, ntyp = 3
/
ATOMIC_SPECIES
Ti 47.87 Ti.upf
Bi 208.98 Bi.upf
Te 127.60 Te.upf
ATOMIC_POSITIONS crystal
Ti 0.118 0.625 0.993
Ti 0.375 0.368 0.493
Ti 0.632 0.125 0.007
Ti 0.875 0.882 0.507
Bi 0.250 0.750 0.500
Bi 0.500 0.500 0.000
Te 0.000 0.000 0.000
Te 0.750 0.250 0.500
CELL_PARAMETERS angstrom
-3.218 3.218 6.376
3.218 -3.218 6.376
3.218 3.218 -6.376
```


First-principles (GGA-PBE) data for a relaxed Ti2BiTe crystal, as listed in Alexandria via LeMat-Bulk. Values from VASP.

## Properties
- crystal system = monoclinic
- SG = P2_1/c, No. 14
- formation energy from raw total energies (eV/atom) = -0.392

```
&SYSTEM
  ibrav = 0, nat = 16, ntyp = 3
/
ATOMIC_SPECIES
Ti 47.87 Ti.upf
Bi 208.98 Bi.upf
Te 127.60 Te.upf
ATOMIC_POSITIONS crystal
Ti 0.113 0.183 0.495
Ti 0.113 0.317 0.995
Ti 0.357 0.687 0.003
Ti 0.357 0.813 0.503
Ti 0.643 0.187 0.497
Ti 0.643 0.313 0.997
Ti 0.887 0.683 0.005
Ti 0.887 0.817 0.505
Bi 0.379 0.086 0.203
Bi 0.379 0.414 0.703
Bi 0.621 0.586 0.297
Bi 0.621 0.914 0.797
Te 0.124 0.576 0.297
Te 0.124 0.924 0.797
Te 0.876 0.076 0.203
Te 0.876 0.424 0.703
CELL_PARAMETERS angstrom
7.637 0.000 0.000
0.000 6.931 0.000
-0.006 0.000 6.771
```


First-principles (GGA-PBE) data for a relaxed Ti6BiTe3 crystal, as listed in Alexandria via LeMat-Bulk. Values from VASP.

## Properties
- crystal system = orthorhombic
- SG = Cmc2_1, No. 36
- formation energy from raw total energies (eV/atom) = -0.322

```
&SYSTEM
  ibrav = 0, nat = 20, ntyp = 3
/
ATOMIC_SPECIES
Ti 47.87 Ti.upf
Bi 208.98 Bi.upf
Te 127.60 Te.upf
ATOMIC_POSITIONS crystal
Ti 0.028 0.972 0.500
Ti 0.063 0.493 0.963
Ti 0.230 0.368 0.634
Ti 0.263 0.737 0.662
Ti 0.368 0.230 0.134
Ti 0.493 0.063 0.463
Ti 0.507 0.937 0.963
Ti 0.632 0.770 0.634
Ti 0.737 0.263 0.162
Ti 0.770 0.632 0.134
Ti 0.937 0.507 0.463
Ti 0.972 0.028 0.000
Bi 0.190 0.810 0.235
Bi 0.810 0.190 0.735
Te 0.085 0.297 0.282
Te 0.297 0.085 0.782
Te 0.433 0.567 0.932
Te 0.567 0.433 0.432
Te 0.703 0.915 0.282
Te 0.915 0.703 0.782
CELL_PARAMETERS angstrom
4.481 -6.624 0.000
4.481 6.624 0.000
0.000 0.000 7.039
```


First-principles (GGA-PBE) data for a relaxed Ti2Bi2Te crystal, as listed in Alexandria via LeMat-Bulk. Values from VASP.

## Properties
- crystal system = tetragonal
- SG = P4/mbm, No. 127
- formation energy from raw total energies (eV/atom) = -0.147

```
&SYSTEM
  ibrav = 0, nat = 10, ntyp = 3
/
ATOMIC_SPECIES
Ti 47.87 Ti.upf
Bi 208.98 Bi.upf
Te 127.60 Te.upf
ATOMIC_POSITIONS crystal
Ti 0.148 0.352 0.000
Ti 0.352 0.852 0.000
Ti 0.648 0.148 0.000
Ti 0.852 0.648 0.000
Bi 0.146 0.646 0.500
Bi 0.354 0.146 0.500
Bi 0.646 0.854 0.500
Bi 0.854 0.354 0.500
Te 0.000 0.000 0.000
Te 0.500 0.500 0.000
CELL_PARAMETERS angstrom
7.801 0.000 0.000
0.000 7.801 0.000
0.000 0.000 3.870
```


First-principles (GGA-PBE) data for a relaxed TiBiTe3 crystal, as listed in Alexandria via LeMat-Bulk. Values from VASP.

## Properties
- crystal system = cubic
- SG = Pm-3m, No. 221
- formation energy from raw total energies (eV/atom) = 0.001

```
&SYSTEM
  ibrav = 0, nat = 5, ntyp = 3
/
ATOMIC_SPECIES
Ti 47.87 Ti.upf
Bi 208.98 Bi.upf
Te 127.60 Te.upf
ATOMIC_POSITIONS crystal
Ti 0.000 0.000 0.000
Bi 0.500 0.500 0.500
Te 0.000 0.000 0.500
Te 0.000 0.500 0.000
Te 0.500 0.000 0.000
CELL_PARAMETERS angstrom
5.347 0.000 0.000
0.000 5.347 0.000
0.000 0.000 5.347
```


First-principles (GGA-PBE) data for a relaxed Ti8BiTe2 crystal, as listed in Alexandria via LeMat-Bulk. Values from VASP.

## Properties
- crystal system = monoclinic
- SG = C2/m, No. 12
- formation energy from raw total energies (eV/atom) = -0.136

```
&SYSTEM
  ibrav = 0, nat = 11, ntyp = 3
/
ATOMIC_SPECIES
Ti 47.87 Ti.upf
Bi 208.98 Bi.upf
Te 127.60 Te.upf
ATOMIC_POSITIONS crystal
Ti 0.097 0.314 0.606
Ti 0.236 0.764 0.000
Ti 0.314 0.097 0.606
Ti 0.416 0.416 0.180
Ti 0.584 0.584 0.820
Ti 0.686 0.903 0.394
Ti 0.764 0.236 0.000
Ti 0.903 0.686 0.394
Bi 0.000 0.000 0.000
Te 0.304 0.696 0.500
Te 0.696 0.304 0.500
CELL_PARAMETERS angstrom
3.758 -6.091 0.000
3.758 6.091 0.000
-2.297 0.000 4.654
```


First-principles (GGA-PBE) data for a relaxed TiBiTe2 crystal, as listed in Alexandria via LeMat-Bulk. Values from VASP.

## Properties
- crystal system = trigonal
- SG = R-3m, No. 166
- formation energy from raw total energies (eV/atom) = 0.371

```
&SYSTEM
  ibrav = 0, nat = 4, ntyp = 3
/
ATOMIC_SPECIES
Ti 47.87 Ti.upf
Bi 208.98 Bi.upf
Te 127.60 Te.upf
ATOMIC_POSITIONS crystal
Ti 0.000 0.000 0.000
Bi 0.500 0.500 0.500
Te 0.067 0.067 0.067
Te 0.933 0.933 0.933
CELL_PARAMETERS angstrom
1.631 0.942 13.654
-1.631 0.942 13.654
0.000 -1.883 13.654
```


First-principles (GGA-PBE) data for a relaxed Ti2BiTe crystal, as listed in Alexandria via LeMat-Bulk. Values from VASP.

## Properties
- crystal system = cubic
- SG = Fm-3m, No. 225
- formation energy from raw total energies (eV/atom) = -0.169

```
&SYSTEM
  ibrav = 0, nat = 4, ntyp = 3
/
ATOMIC_SPECIES
Ti 47.87 Ti.upf
Bi 208.98 Bi.upf
Te 127.60 Te.upf
ATOMIC_POSITIONS crystal
Ti 0.250 0.250 0.250
Ti 0.750 0.750 0.750
Bi 0.000 0.000 0.000
Te 0.500 0.500 0.500
CELL_PARAMETERS angstrom
0.000 3.476 3.476
3.476 0.000 3.476
3.476 3.476 0.000
```